Compound: SmTl4Te3
Source: OQMD
Functional: GGA-PBE
Structure: relaxed

The final energy is -3.482 eV/atom. As for the space-group type: I4/mcm (140).

```
data_SmTl4Te3
_chemical_formula_sum 'Sm2 Tl8 Te6'
_symmetry_space_group_name_H-M 'P 1'
_symmetry_Int_Tables_number 1
_cell_length_a 9.073
_cell_length_b 9.073
_cell_length_c 9.073
_cell_angle_alpha 121.89
_cell_angle_beta 121.89
_cell_angle_gamma 86.76
loop_
_symmetry_equiv_pos_as_xyz
'x,y,z'
loop_
_atom_site_label
_atom_site_fract_x
_atom_site_fract_y
_atom_site_fract_z
_atom_site_occupancy
Sm1 0.000 0.000 0.000 1
Sm2 0.500 0.500 0.000 1
Tl1 0.021 0.521 0.211 1
Tl2 0.190 0.979 0.500 1
Tl3 0.310 0.810 0.789 1
Tl4 0.479 0.690 0.500 1
Tl5 0.521 0.310 0.500 1
Tl6 0.690 0.190 0.211 1
Tl7 0.810 0.021 0.500 1
Tl8 0.979 0.479 0.789 1
Te1 0.169 0.331 0.500 1
Te2 0.250 0.250 0.000 1
Te3 0.331 0.831 0.162 1
Te4 0.669 0.169 0.838 1
Te5 0.750 0.750 0.000 1
Te6 0.831 0.669 0.500 1
```

Compound: GdHo2In3Ir2Pd
Source: OQMD
Functional: GGA-PBE
Structure: relaxed

The final energy is -5.742 eV/atom. As for the space-group type: Amm2 (38).

```
data_GdHo2In3Ir2Pd
_chemical_formula_sum 'Gd1 Ho2 In3 Ir2 Pd1'
_symmetry_space_group_name_H-M 'P 1'
_symmetry_Int_Tables_number 1
_cell_length_a 3.873
_cell_length_b 7.623
_cell_length_c 7.623
_cell_angle_alpha 120.34
_cell_angle_beta 90.00
_cell_angle_gamma 90.00
loop_
_symmetry_equiv_pos_as_xyz
'x,y,z'
loop_
_atom_site_label
_atom_site_fract_x
_atom_site_fract_y
_atom_site_fract_z
_atom_site_occupancy
Gd1 0.000 0.000 0.000 1
Ho1 0.000 0.413 0.823 1
Ho2 0.000 0.823 0.413 1
In1 0.500 0.152 0.412 1
In2 0.500 0.412 0.152 1
In3 0.500 0.671 0.671 1
Ir1 0.500 0.079 0.743 1
Ir2 0.500 0.743 0.079 1
Pd1 0.000 0.412 0.412 1
```

Compound: NbRe2B
Source: OQMD
Functional: GGA-PBE
Structure: relaxed

The final energy is -9.859 eV/atom. As for the space-group type: F-43m (216).

```
data_NbRe2B
_chemical_formula_sum 'Nb4 Re8 B4'
_symmetry_space_group_name_H-M 'P 1'
_symmetry_Int_Tables_number 1
_cell_length_a 6.070
_cell_length_b 6.070
_cell_length_c 6.070
_cell_angle_alpha 90.00
_cell_angle_beta 90.00
_cell_angle_gamma 90.00
loop_
_symmetry_equiv_pos_as_xyz
'x,y,z'
loop_
_atom_site_label
_atom_site_fract_x
_atom_site_fract_y
_atom_site_fract_z
_atom_site_occupancy
Nb1 0.000 0.000 0.000 1
Nb2 0.000 0.500 0.500 1
Nb3 0.500 0.000 0.500 1
Nb4 0.500 0.500 0.000 1
Re1 0.000 0.000 0.500 1
Re2 0.000 0.500 0.000 1
Re3 0.250 0.250 0.250 1
Re4 0.250 0.750 0.750 1
Re5 0.500 0.000 0.000 1
Re6 0.500 0.500 0.500 1
Re7 0.750 0.250 0.750 1
Re8 0.750 0.750 0.250 1
B1 0.250 0.250 0.750 1
B2 0.250 0.750 0.250 1
B3 0.750 0.250 0.250 1
B4 0.750 0.750 0.750 1
```

What did the third record say?
Compound: NbRe2B
Source: OQMD
Functional: GGA-PBE
Structure: relaxed

The final energy is -9.859 eV/atom. As for the space-group type: F-43m (216).

```
data_NbRe2B
_chemical_formula_sum 'Nb4 Re8 B4'
_symmetry_space_group_name_H-M 'P 1'
_symmetry_Int_Tables_number 1
_cell_length_a 6.070
_cell_length_b 6.070
_cell_length_c 6.070
_cell_angle_alpha 90.00
_cell_angle_beta 90.00
_cell_angle_gamma 90.00
loop_
_symmetry_equiv_pos_as_xyz
'x,y,z'
loop_
_atom_site_label
_atom_site_fract_x
_atom_site_fract_y
_atom_site_fract_z
_atom_site_occupancy
Nb1 0.000 0.000 0.000 1
Nb2 0.000 0.500 0.500 1
Nb3 0.500 0.000 0.500 1
Nb4 0.500 0.500 0.000 1
Re1 0.000 0.000 0.500 1
Re2 0.000 0.500 0.000 1
Re3 0.250 0.250 0.250 1
Re4 0.250 0.750 0.750 1
Re5 0.500 0.000 0.000 1
Re6 0.500 0.500 0.500 1
Re7 0.750 0.250 0.750 1
Re8 0.750 0.750 0.250 1
B1 0.250 0.250 0.750 1
B2 0.250 0.750 0.250 1
B3 0.750 0.250 0.250 1
B4 0.750 0.750 0.750 1
```

> What is the formula in the second record?

GdHo2In3Ir2Pd